[1]
First-principles (PBE) data for a relaxed CeErSiPd crystal, as listed in Alexandria.

Cell and atoms, written as POSCAR:
```
CeErSiPd
1.0
0.000 3.550 3.550
3.550 0.000 3.550
3.550 3.550 0.000
Ce Er Si Pd
1 1 1 1
Direct
0.000 0.000 0.000
0.500 0.500 0.500
0.250 0.250 0.250
0.750 0.750 0.750
```

Values from the calculation:
Formation energy from raw total energies   -610 meV per atom
Final energy   -5.8885 eV per atom
SG   F-43m, No. 216
Mass density   8.20 g cm⁻³

[2]
First-principles (PBE) data for a relaxed KSr2HfCl crystal, as listed in Alexandria.

Cell and atoms, written as POSCAR:
```
KSr2HfCl
1.0
6.453 0.000 0.000
0.000 6.453 0.000
0.000 0.000 6.751
K Sr Hf Cl
1 2 1 1
Direct
0.000 0.000 0.000
0.000 0.500 0.500
0.500 0.000 0.500
0.000 0.000 0.500
0.500 0.500 0.000
```

Values from the calculation:
Formation energy from raw total energies   607 meV per atom
Final energy   -2.6454 eV per atom
SG   P4/mmm, No. 123
Mass density   2.53 g cm⁻³

[3]
First-principles (PBE) data for a relaxed Mg2Ta2Tl crystal, as listed in Alexandria.

Cell and atoms, written as POSCAR:
```
Mg2Ta2Tl
1.0
-1.904 1.904 7.994
1.904 -1.904 7.994
1.904 1.904 -7.994
Mg Ta Tl
2 2 1
Direct
0.101 0.101 0.000
0.899 0.899 0.000
0.250 0.750 0.500
0.750 0.250 0.500
0.500 0.500 0.000
```

Values from the calculation:
Offset from the most stable computed form   0 meV per atom
DFT formation energy   54.8 kJ/mol of atoms
Final energy   -5.2847 eV per atom
SG   I4/mmm, No. 139
Mass density   8.81 g cm⁻³

The lowest final energy belongs to which entry? CeErSiPd